No. 1
20
Lattice="5.706 0.000 0.000 0.000 6.050 0.000 0.000 0.000 8.188" Properties=species:S:1:pos:R:3 comment="Sr2CaMoO6 (GGA-PBEsol, optimized geometry)" dft_energy_ev_per_cell=-151.77 raw_formation_energy_ev_per_atom=-2.681 mass_density_g_cm3=4.8 pbc="T T T"
Sr 2.853 4.872 1.902
Sr 0.000 1.179 5.996
Sr 2.853 4.872 6.287
Sr 0.000 1.179 2.193
Ca 0.000 4.363 4.094
Ca 2.853 1.688 0.000
Mo 2.853 1.433 4.094
Mo 0.000 4.617 0.000
O 2.853 1.320 2.195
O 2.853 1.320 5.993
O 0.000 4.730 1.899
O 0.000 4.730 6.290
O 1.433 2.624 4.094
O 4.273 2.624 4.094
O 1.542 6.000 4.094
O 4.164 6.000 4.094
O 4.286 3.427 0.000
O 1.420 3.427 0.000
O 1.311 0.051 0.000
O 4.395 0.051 0.000

---

No. 2
20
Lattice="-3.492 -4.168 -0.135 -0.032 -0.166 5.650 -5.938 4.971 0.112" Properties=species:S:1:pos:R:3 comment="Ca2TaMoO6 (GGA-PBEsol, optimized geometry)" dft_energy_ev_per_cell=-174.05 raw_formation_energy_ev_per_atom=-2.695 mass_density_g_cm3=6.3 pbc="T T T"
Ca -1.524 1.190 0.296
Ca -3.203 -0.880 3.135
Ca -6.260 1.517 2.492
Ca -7.939 -0.553 5.331
Ta -0.016 -0.083 2.825
Ta -2.985 2.403 2.881
Mo -1.746 -2.084 -0.067
Mo -4.715 0.401 -0.011
O -6.062 -0.682 1.135
O -3.756 0.987 1.721
O -3.400 1.319 4.492
O -8.163 1.706 3.952
O -4.786 3.264 3.055
O -5.706 -0.350 3.906
O -1.299 -1.069 1.675
O -8.489 1.349 1.181
O -3.510 -1.300 5.508
O -0.974 -0.712 4.447
O -5.952 1.937 0.119
O -4.676 -2.627 2.573

---

No. 3
44
Lattice="6.639 0.000 0.000 0.000 8.177 0.002 0.000 0.080 11.432" Properties=species:S:1:pos:R:3 comment="CaUMo4O16 (GGA-PBEsol, optimized geometry)" dft_energy_ev_per_cell=-393.18 raw_formation_energy_ev_per_atom=-2.329 mass_density_g_cm3=4.9 pbc="T T T"
Ca 4.655 6.193 8.576
Ca 1.984 2.064 2.859
U 1.984 6.153 2.860
U 4.655 2.105 8.575
Mo 1.117 1.727 6.779
Mo 5.521 6.530 4.656
Mo 1.127 5.812 6.816
Mo 1.117 2.482 10.371
Mo 5.521 5.775 1.064
Mo 5.512 2.445 4.619
Mo 1.127 6.574 10.336
Mo 5.512 1.683 1.098
O 5.636 2.141 10.664
O 5.628 8.146 1.111
O 5.636 2.068 6.485
O 3.856 2.158 4.296
O 2.782 6.099 7.139
O 5.652 6.185 6.430
O 1.026 8.192 6.832
O 1.003 6.189 4.949
O 0.443 6.193 8.576
O 1.011 0.111 10.323
O 3.856 1.971 1.422
O 0.389 2.105 8.575
O 5.628 4.159 4.608
O 3.837 6.081 1.478
O 6.250 6.153 2.860
O 5.613 0.065 4.602
O 6.196 2.064 2.859
O 0.987 2.072 5.005
O 1.991 4.331 2.887
O 4.648 0.283 8.602
O 5.652 6.200 10.722
O 0.987 2.057 0.713
O 1.011 4.098 6.826
O 2.802 2.176 9.956
O 1.003 6.117 0.770
O 1.991 7.974 2.832
O 1.026 4.193 10.319
O 2.802 2.033 7.193
O 3.837 6.224 4.241
O 5.613 4.064 1.115
O 4.648 3.926 8.547
O 2.782 6.286 10.013

---

No. 4
4
Lattice="-2.707 0.318 -1.365 -0.414 -3.018 0.117 -3.206 0.692 6.518" Properties=species:S:1:pos:R:3 comment="CaMoOs2 (GGA-PBEsol, optimized geometry)" dft_energy_ev_per_cell=-36.98 e_form_kj_per_mol_atoms=33 de_polymorph_mev_per_atom=0 mass_density_g_cm3=12.6 pbc="T T T"
Ca -1.560 -1.350 -0.624
Mo -3.164 -1.004 2.635
Os -2.264 0.489 4.603
Os -0.942 0.203 1.916

---

No. 5
5
Lattice="-2.463 3.434 3.328 -1.331 -4.087 3.233 4.593 0.657 2.721" Properties=species:S:1:pos:R:3 comment="Ca3MoOs (GGA-PBEsol, optimized geometry)" dft_energy_ev_per_cell=-23.93 e_form_kj_per_mol_atoms=124 mass_density_g_cm3=4.3 pbc="T T T"
Mo 0.400 0.002 4.641
Os 0.000 0.000 0.000
Ca -0.665 -2.044 1.617
Ca 2.297 0.329 1.361
Ca -1.231 1.717 1.664

---

No. 6
4
Lattice="-0.860 -1.497 2.567 -2.796 -2.855 -2.602 5.273 -0.713 -0.513" Properties=species:S:1:pos:R:3 comment="CaMo2Os (GGA-PBEsol, optimized geometry)" dft_energy_ev_per_cell=-35.53 e_form_kj_per_mol_atoms=57 de_polymorph_mev_per_atom=0 mass_density_g_cm3=10.5 pbc="T T T"
Mo 0.153 -0.128 -0.024
Mo 1.265 -2.170 1.022
Os 3.316 -2.781 -0.511
Ca 0.329 -2.876 -1.567

---

No. 7
4
Lattice="-3.644 -1.158 0.109 0.779 -2.162 3.058 -1.036 3.517 2.751" Properties=species:S:1:pos:R:3 comment="CaMo2Os (GGA-PBEsol, optimized geometry)" dft_energy_ev_per_cell=-34.30 e_form_kj_per_mol_atoms=86 de_polymorph_mev_per_atom=307 mass_density_g_cm3=10.5 pbc="T T T"
Mo 0.390 -1.081 1.529
Mo -1.822 -0.579 0.055
Os -1.950 0.098 2.959
Ca -0.518 1.758 1.375

---

No. 8
4
Lattice="4.476 0.000 0.000 2.238 3.877 0.000 2.238 1.292 3.655" Properties=species:S:1:pos:R:3 comment="CaMoOs2 (GGA-PBEsol, optimized geometry)" dft_energy_ev_per_cell=-36.47 e_form_kj_per_mol_atoms=45 de_polymorph_mev_per_atom=127 mass_density_g_cm3=13.5 pbc="T T T"
Ca 0.000 0.000 0.000
Mo 4.476 2.584 1.827
Os 2.238 1.292 0.914
Os 6.715 3.877 2.741

---

No. 9
5
Lattice="-4.468 -1.379 1.075 1.420 -1.137 4.440 -1.148 5.006 1.649" Properties=species:S:1:pos:R:3 comment="SrCaMo2Os (GGA-PBEsol, optimized geometry)" dft_energy_ev_per_cell=-34.69 e_form_kj_per_mol_atoms=97 mass_density_g_cm3=6.8 pbc="T T T"
Sr -2.099 1.245 3.582
Mo 0.710 -0.568 2.220
Mo -2.234 -0.690 0.538
Os 0.000 0.000 0.000
Ca -0.574 2.503 0.824

---

No. 10
4
Lattice="3.178 0.000 0.000 0.000 4.949 0.030 -1.589 -1.200 4.547" Properties=species:S:1:pos:R:3 comment="CaMo2P (GGA-PBEsol, optimized geometry)" dft_energy_ev_per_cell=-30.87 e_form_kj_per_mol_atoms=14 mass_density_g_cm3=6.1 pbc="T T T"
Ca 0.000 2.474 0.015
Mo 0.000 0.272 1.971
Mo 1.589 3.476 2.606
P 1.589 0.000 0.000

---

No. 11
6
Lattice="-2.293 -4.723 -0.358 -0.259 -3.126 4.225 -4.626 -0.864 2.353" Properties=species:S:1:pos:R:3 comment="CaMo4P (GGA-PBEsol, optimized geometry)" dft_energy_ev_per_cell=-51.26 e_form_kj_per_mol_atoms=60 mass_density_g_cm3=7.3 pbc="T T T"
Ca 0.000 0.000 0.000
Mo -2.701 -3.279 2.341
Mo -4.990 -3.707 3.505
Mo -3.835 -5.615 2.163
Mo -2.830 -4.826 4.431
P -5.384 -6.535 4.665

---

No. 12
4
Lattice="2.822 0.000 0.000 0.000 4.784 0.000 -1.411 -2.392 5.075" Properties=species:S:1:pos:R:3 comment="CaMo2P (GGA-PBEsol, optimized geometry)" dft_energy_ev_per_cell=-30.93 e_form_kj_per_mol_atoms=13 mass_density_g_cm3=6.4 pbc="T T T"
Ca 0.000 2.392 0.000
Mo 1.411 2.392 3.068
Mo 0.000 0.000 2.007
P 1.411 0.000 0.000

---

No. 13
5
Lattice="-3.413 0.392 3.184 -0.903 -4.578 -0.404 3.078 -0.909 3.411" Properties=species:S:1:pos:R:3 comment="CaMoP3 (GGA-PBEsol, optimized geometry)" dft_energy_ev_per_cell=-32.19 e_form_kj_per_mol_atoms=-18 mass_density_g_cm3=3.7 pbc="T T T"
P -0.452 -2.289 -0.202
P 1.539 -0.454 1.706
P -1.706 0.196 1.592
Mo 0.000 0.000 0.000
Ca -0.619 -2.547 3.095

---

No. 14
4
Lattice="3.399 0.000 0.000 1.699 2.943 0.000 1.699 0.981 7.751" Properties=species:S:1:pos:R:3 comment="CaMo2P (GGA-PBEsol, optimized geometry)" dft_energy_ev_per_cell=-30.70 e_form_kj_per_mol_atoms=18 mass_density_g_cm3=5.6 pbc="T T T"
Ca 0.000 0.000 0.000
Mo 1.699 0.981 2.648
Mo 5.098 2.943 5.102
P 3.399 1.962 3.875

---

No. 15
4
Lattice="-2.174 -3.059 -0.402 -0.331 -0.258 3.751 -2.564 4.391 -1.823" Properties=species:S:1:pos:R:3 comment="CaMo2P (GGA-PBEsol, optimized geometry)" dft_energy_ev_per_cell=-29.82 e_form_kj_per_mol_atoms=40 mass_density_g_cm3=6.5 pbc="T T T"
Ca 0.000 0.000 0.000
Mo -2.995 -0.163 -0.276
Mo -2.074 1.237 1.801
P -1.253 -1.658 1.674

---

No. 16
4
Lattice="-1.871 -2.108 -2.054 3.282 -1.780 -1.164 -0.446 -3.315 3.809" Properties=species:S:1:pos:R:3 comment="CaMoP2 (GGA-PBEsol, optimized geometry)" dft_energy_ev_per_cell=-26.75 e_form_kj_per_mol_atoms=-31 de_polymorph_mev_per_atom=0 mass_density_g_cm3=4.8 pbc="T T T"
Ca 0.000 0.000 0.000
Mo 0.482 -3.601 0.295
P -0.223 -1.657 1.904
P 0.705 -1.944 -1.609

---

No. 17
5
Lattice="-1.768 -0.615 -4.130 3.641 -2.422 -1.198 -2.044 -3.783 1.438" Properties=species:S:1:pos:R:3 comment="CaMo3P (GGA-PBEsol, optimized geometry)" dft_energy_ev_per_cell=-40.61 e_form_kj_per_mol_atoms=51 de_polymorph_mev_per_atom=0 mass_density_g_cm3=6.4 pbc="T T T"
P 0.000 0.000 0.000
Mo 1.820 -1.211 -0.599
Mo -1.022 -1.892 0.719
Mo -0.884 -0.308 -2.065
Ca -0.085 -3.410 -1.944

---

No. 18
5
Lattice="4.519 0.000 0.000 0.000 4.519 0.000 0.000 0.000 4.519" Properties=species:S:1:pos:R:3 comment="CaMo3P (GGA-PBEsol, optimized geometry)" dft_energy_ev_per_cell=-28.94 e_form_kj_per_mol_atoms=276 de_polymorph_mev_per_atom=2333 mass_density_g_cm3=6.5 pbc="T T T"
P 2.259 2.259 2.259
Mo 0.000 2.259 0.000
Mo 0.000 0.000 2.259
Mo 2.259 0.000 0.000
Ca 0.000 0.000 0.000

---

No. 19
4
Lattice="3.739 0.000 0.000 0.000 3.739 0.000 -1.870 -1.870 4.716" Properties=species:S:1:pos:R:3 comment="CaMoP2 (GGA-PBEsol, optimized geometry)" dft_energy_ev_per_cell=-25.30 e_form_kj_per_mol_atoms=4 de_polymorph_mev_per_atom=363 mass_density_g_cm3=5.0 pbc="T T T"
Ca 1.870 1.870 0.000
Mo 0.000 1.870 2.358
P 0.000 0.000 0.000
P 1.870 0.000 2.358

---

No. 20
4
Lattice="3.168 0.000 0.000 -1.584 4.174 0.038 0.000 -0.936 6.700" Properties=species:S:1:pos:R:3 comment="CaMo2Pb (GGA-PBEsol, optimized geometry)" dft_energy_ev_per_cell=-27.67 e_form_kj_per_mol_atoms=48 mass_density_g_cm3=8.2 pbc="T T T"
Pb 1.584 -0.443 3.685
Mo 1.584 3.179 6.250
Mo 0.000 1.379 5.340
Ca 1.584 1.893 1.550

---

No. 21
4
Lattice="-2.969 1.266 -0.746 -1.453 -0.769 -2.877 -6.054 -7.934 3.271" Properties=species:S:1:pos:R:3 comment="Ca2MoPb (GGA-PBEsol, optimized geometry)" dft_energy_ev_per_cell=-18.12 e_form_kj_per_mol_atoms=46 mass_density_g_cm3=6.5 pbc="T T T"
Pb 0.000 0.000 0.000
Mo -5.239 -3.718 -0.176
Ca -2.694 -1.992 -0.015
Ca -7.783 -5.445 -0.337

---

No. 22
4
Lattice="-2.914 -1.996 0.556 2.623 -3.434 1.418 -0.126 4.361 3.499" Properties=species:S:1:pos:R:3 comment="CaMo2Pb (GGA-PBEsol, optimized geometry)" dft_energy_ev_per_cell=-26.71 e_form_kj_per_mol_atoms=71 mass_density_g_cm3=9.4 pbc="T T T"
Pb -1.457 -0.998 0.278
Mo -0.283 -1.878 3.268
Mo -0.133 0.809 2.205
Ca 1.312 -1.717 0.709

---

No. 23
5
Lattice="5.044 0.000 0.000 0.000 5.044 0.000 0.000 0.000 5.238" Properties=species:S:1:pos:R:3 comment="Ca2MoRhPb (GGA-PBEsol, optimized geometry)" dft_energy_ev_per_cell=-22.19 e_form_kj_per_mol_atoms=115 mass_density_g_cm3=6.1 pbc="T T T"
Pb 0.000 0.000 2.619
Mo 0.000 0.000 0.000
Rh 2.522 2.522 2.619
Ca 0.000 2.522 0.000
Ca 2.522 0.000 0.000

---

No. 24
5
Lattice="4.456 0.000 0.000 0.000 5.520 0.000 0.000 0.000 5.520" Properties=species:S:1:pos:R:3 comment="Ca2MoRuPb (GGA-PBEsol, optimized geometry)" dft_energy_ev_per_cell=-26.21 e_form_kj_per_mol_atoms=77 mass_density_g_cm3=5.9 pbc="T T T"
Pb 2.228 2.760 2.760
Ru 2.228 0.000 0.000
Mo 0.000 0.000 0.000
Ca 0.000 0.000 2.760
Ca 0.000 2.760 0.000

---

No. 25
5
Lattice="5.164 0.000 0.000 0.000 5.164 0.000 0.000 0.000 5.584" Properties=species:S:1:pos:R:3 comment="CaZnMo2Pb (GGA-PBEsol, optimized geometry)" dft_energy_ev_per_cell=-21.55 e_form_kj_per_mol_atoms=187 mass_density_g_cm3=5.6 pbc="T T T"
Pb 0.000 0.000 0.000
Mo 0.000 2.582 0.000
Mo 2.582 0.000 0.000
Ca 0.000 0.000 2.792
Zn 2.582 2.582 2.792

---

No. 26
4
Lattice="2.854 0.000 0.000 0.000 2.854 0.000 0.000 0.000 8.215" Properties=species:S:1:pos:R:3 comment="CaMoPt2 (GGA-PBEsol, optimized geometry)" dft_energy_ev_per_cell=-29.41 e_form_kj_per_mol_atoms=-38 de_polymorph_mev_per_atom=0 mass_density_g_cm3=13.1 pbc="T T T"
Mo 1.427 1.427 4.108
Ca 1.427 1.427 0.000
Pt 0.000 0.000 5.938
Pt 0.000 0.000 2.278